Entry 1:
Compound: K4PuO4
Source: Alexandria
Functional: PBE
Structure: optimized geometry

Results
- polymorph energy (0 for the lowest one) (meV/atom) = 173
- energy (eV per atom) = -6.006
- total magnetic moment (μB per formula unit) = 4.0
- crystal system = tetragonal
- formation energy without anion corrections (eV per atom) = -1.722

a = 6.6275 Å, b = 6.6275 Å, c = 7.3502 Å
α = 116.80°, β = 116.80°, γ = 90.00°
With the nearest neighbours (Å) after each atom.
Atoms (fractional coordinates):
O  0.2881  0.9164  0.2045  1 Pu 2.09
O  0.9164  0.2881  0.2045  1 Pu 2.09
O  0.0836  0.0836  0.7955  1 Pu 2.09
O  0.7119  0.7119  0.7955  1 Pu 2.09
K  0.5000  0.0000  0.0000  4 O 2.68
K  0.7011  0.7011  0.4023  4 O 2.83-3.15
K  0.0000  0.5000  0.0000  4 O 2.68
K  0.2989  0.2989  0.5977  4 O 2.83-3.15
Pu  0.0000  0.0000  0.0000  4 O 2.09

=====

Entry 2:
Compound: K2Pu3O8
Source: Alexandria
Functional: PBE
Structure: optimized geometry

Results
- energy (eV per atom) = -9.166
- total magnetic moment (μB per formula unit) = 10.0
- crystal system = monoclinic
- formation energy without anion corrections (eV per atom) = -2.638

a = 5.9406 Å, b = 6.9305 Å, c = 7.2531 Å
α = 118.54°, β = 107.78°, γ = 90.00°
With the nearest neighbours (Å) after each atom.
Atoms (fractional coordinates):
O  0.6220  0.1259  0.8244  2 Pu 2.13-2.15
O  0.9048  0.0879  0.1758  3 Pu 2.27
O  0.9662  0.5953  0.1906  2 Pu 2.13
O  0.6220  0.6985  0.8244  2 Pu 2.13-2.15
O  0.0338  0.4047  0.8094  2 Pu 2.13
O  0.3780  0.3015  0.1756  2 Pu 2.13-2.15
O  0.0952  0.9121  0.8242  3 Pu 2.27
O  0.3780  0.8741  0.1756  2 Pu 2.13-2.15
K  0.3442  0.2873  0.5746  6 O 2.71-3.01
K  0.6558  0.7127  0.4254  6 O 2.71-3.01
Pu  0.0000  0.7441  0.0000  6 O 2.13-2.27
Pu  0.5000  0.0000  0.0000  6 O 2.13-2.27
Pu  0.0000  0.2559  0.0000  6 O 2.13-2.27

=====

Entry 3:
Compound: K5Pu3O12
Source: Alexandria
Functional: PBE
Structure: optimized geometry

Results
- polymorph energy (0 for the lowest one) (meV/atom) = 482
- energy (eV per atom) = -7.246
- total magnetic moment (μB per formula unit) = 5.0
- crystal system = cubic
- formation energy without anion corrections (eV per atom) = -1.847

a = 12.9719 Å, b = 12.9719 Å, c = 12.9719 Å
α = 109.47°, β = 109.47°, γ = 109.47°
With the nearest neighbours (Å) after each atom.
Atoms (fractional coordinates):
O  0.9322  0.2970  0.2843  1 Pu 1.93
O  0.7970  0.2843  0.4322  1 Pu 1.93
O  0.9873  0.8521  0.7843  1 Pu 1.93
O  0.0127  0.1479  0.2157  1 Pu 1.93
O  0.3521  0.5678  0.3648  1 Pu 1.93
O  0.7157  0.5127  0.1479  1 Pu 1.93
O  0.2030  0.4873  0.1352  1 Pu 1.93
O  0.1352  0.9873  0.2030  1 Pu 1.93
O  0.1479  0.0127  0.7157  1 Pu 1.93
O  0.3648  0.0678  0.3521  1 Pu 1.93
O  0.6479  0.2157  0.5127  1 Pu 1.93
O  0.0127  0.8648  0.2970  1 Pu 1.93
O  0.4873  0.2030  0.6352  1 Pu 1.93
O  0.8521  0.9873  0.2843  1 Pu 1.93
O  0.2843  0.4873  0.8521  1 Pu 1.93
O  0.6479  0.4322  0.6352  1 Pu 1.93
O  0.9322  0.6352  0.1479  1 Pu 1.93
O  0.4873  0.2843  0.3521  1 Pu 1.93
O  0.8648  0.8521  0.5678  1 Pu 1.93
O  0.6352  0.7030  0.4873  1 Pu 1.93
O  0.1352  0.1479  0.4322  1 Pu 1.93
O  0.8521  0.8648  0.0678  1 Pu 1.93
O  0.3521  0.7843  0.4873  1 Pu 1.93
O  0.2843  0.7970  0.9322  1 Pu 1.93
O  0.7843  0.3521  0.9873  1 Pu 1.93
O  0.2970  0.9322  0.7843  1 Pu 1.93
O  0.5678  0.2157  0.2030  1 Pu 1.93
O  0.8648  0.0127  0.7970  1 Pu 1.93
O  0.0678  0.7030  0.7157  1 Pu 1.93
O  0.0678  0.3648  0.8521  1 Pu 1.93
O  0.7030  0.6352  0.9873  1 Pu 1.93
O  0.5678  0.3521  0.8648  1 Pu 1.93
O  0.2970  0.3648  0.0127  1 Pu 1.93
O  0.7970  0.5127  0.8648  1 Pu 1.93
O  0.1479  0.1352  0.9322  1 Pu 1.93
O  0.9873  0.1352  0.7030  1 Pu 1.93
O  0.4322  0.7843  0.7970  1 Pu 1.93
O  0.6352  0.9322  0.6479  1 Pu 1.93
O  0.4322  0.6479  0.1352  1 Pu 1.93
O  0.7843  0.4322  0.2970  1 Pu 1.93
O  0.7157  0.2030  0.0678  1 Pu 1.93
O  0.2030  0.7157  0.5678  1 Pu 1.93
O  0.3648  0.2970  0.5127  1 Pu 1.93
O  0.2157  0.6479  0.0127  1 Pu 1.93
O  0.2157  0.5678  0.7030  1 Pu 1.93
O  0.5127  0.7157  0.6479  1 Pu 1.93
O  0.5127  0.7970  0.3648  1 Pu 1.93
O  0.7030  0.0678  0.2157  1 Pu 1.93
K  0.5000  0.0000  0.5000  6 O 2.73
K  0.0000  0.5000  0.0000  6 O 2.73
K  0.0000  0.5000  0.5000  6 O 2.73
K  0.7500  0.6250  0.3750  4 O 2.61
K  0.8750  0.2500  0.6250  4 O 2.61
K  0.6250  0.7500  0.8750  4 O 2.61
K  0.2500  0.8750  0.1250  4 O 2.61
K  0.8750  0.6250  0.7500  4 O 2.61
K  0.3750  0.1250  0.7500  4 O 2.61
K  0.6250  0.8750  0.2500  4 O 2.61
K  0.3750  0.2500  0.1250  4 O 2.61
K  0.1250  0.3750  0.2500  4 O 2.61
K  0.5000  0.5000  0.0000  6 O 2.73
K  0.0000  0.0000  0.5000  6 O 2.73
K  0.2500  0.3750  0.6250  4 O 2.61
K  0.1250  0.7500  0.3750  4 O 2.61
K  0.7500  0.1250  0.8750  4 O 2.61
K  0.5000  0.5000  0.5000  6 O 2.73
K  0.5000  0.0000  0.0000  6 O 2.73
K  0.0000  0.0000  0.0000  6 O 2.73
Pu  0.2500  0.6250  0.8750  4 O 1.93
Pu  0.3750  0.7500  0.6250  4 O 1.93
Pu  0.7500  0.8750  0.6250  4 O 1.93
Pu  0.7500  0.3750  0.1250  4 O 1.93
Pu  0.6250  0.3750  0.7500  4 O 1.93
Pu  0.1250  0.8750  0.7500  4 O 1.93
Pu  0.6250  0.2500  0.3750  4 O 1.93
Pu  0.8750  0.7500  0.1250  4 O 1.93
Pu  0.8750  0.1250  0.2500  4 O 1.93
Pu  0.3750  0.6250  0.2500  4 O 1.93
Pu  0.2500  0.1250  0.3750  4 O 1.93
Pu  0.1250  0.2500  0.8750  4 O 1.93

=====

Entry 4:
Compound: K2Pu3O6
Source: Alexandria
Functional: PBE
Structure: optimized geometry

Results
- energy (eV per atom) = -9.430
- total magnetic moment (μB per formula unit) = 14.0
- crystal system = monoclinic
- formation energy without anion corrections (eV per atom) = -2.617

a = 6.1302 Å, b = 6.1258 Å, c = 6.6813 Å
α = 81.26°, β = 72.31°, γ = 59.98°
With the nearest neighbours (Å) after each atom.
Atoms (fractional coordinates):
Pu  0.0000  0.0000  0.0000  6 O 2.28-2.34
Pu  0.6651  0.6698  0.0000  6 O 2.29-2.34
Pu  0.3349  0.3302  0.0000  6 O 2.29-2.34
O  0.7329  0.0000  0.8261  3 Pu 2.28-2.33
O  0.0489  0.3418  0.8270  3 Pu 2.29-2.34
O  0.3907  0.6582  0.8270  3 Pu 2.29-2.34
O  0.9511  0.6582  0.1730  3 Pu 2.29-2.34
O  0.2671  0.0000  0.1739  3 Pu 2.28-2.33
O  0.6093  0.3418  0.1730  3 Pu 2.29-2.34
K  0.1672  0.6655  0.5000  6 O 2.89-2.90
K  0.8328  0.3345  0.5000  6 O 2.89-2.90